# EuTmPd2 PBE-GGA relaxed
# Space group: P4/mmm (123)
# Total magnetic moment (μB per formula unit): 7.2
# DOS at the Fermi energy (states/eV per cell): 9.5
# Theoretical density (g cm⁻³): 9.93
# Raw total energy (eV per atom): -7.111
data_EuTmPd2
_chemical_formula_sum 'Eu1 Tm1 Pd2'
_cell_length_a 3.5111
_cell_length_b 3.5111
_cell_length_c 7.2413
_cell_angle_alpha 90.00
_cell_angle_beta 90.00
_cell_angle_gamma 90.00
_space_group_name_H-M_alt 'P 1'
_space_group_IT_number 1
loop_
_space_group_symop_operation_xyz
'x,y,z'
loop_
_atom_site_label
_atom_site_fract_x
_atom_site_fract_y
_atom_site_fract_z
_atom_site_occupancy
Eu1 0.0000 0.0000 0.0000 1
Tm1 0.0000 0.0000 0.5000 1
Pd1 0.5000 0.5000 0.2835 1
Pd2 0.5000 0.5000 0.7165 1